This record from the Alexandria database describes a relaxed Cu3BiAu crystal. The functional is PBE-GGA.

Cell lengths 4.9434, 4.9434, 4.9434 Å; angles 90.00, 90.00, 90.00 degrees
With the nearest neighbours (Å) after each atom.
Space group Pm-3m (No. 221)
Inequivalent atoms, fractional coordinates:
Cu1 0.0000 0.0000 0.5000 x3  2 Bi 2.47
Bi1 0.0000 0.0000 0.0000 x1  6 Cu 2.47
Au1 0.5000 0.5000 0.5000 x1  12 Cu 3.50

Properties
Offset from the most stable computed form, meV/atom: 310
Crystal system: cubic
ΔE_f, eV per atom: 0.913